Material: Ca2RuAuI
Method: DFT, PBE
State: optimized geometry

Summary:
The value obtained for the total magnetization is 0.00 μB/f.u. The value obtained for the total energy is -3.2672 eV per atom. Its crystal system is tetragonal.

Lattice parameters (Å, degrees): 5.8006 5.8006 4.7644 90.00 90.00 90.00
Sites, in units of the cell vectors:
Ca 0.0000 0.5000 0.0000
Ca 0.5000 0.0000 0.0000
Ru 0.0000 0.0000 0.5000
Au 0.5000 0.5000 0.5000
I 0.0000 0.0000 0.0000

Material: CeHfBi2
Method: DFT, PBE
State: optimized geometry

Summary:
The value obtained for the total magnetization is 1.69 μB/f.u. As for the formation enthalpy at 0 K: -25.67 kJ/mol of atoms. The value obtained for the total energy is -6.1783 eV per atom. Its crystal system is tetragonal.

Lattice parameters (Å, degrees): 3.7276 3.7276 7.8505 90.00 90.00 90.00
Sites, in units of the cell vectors:
Ce 0.0000 0.0000 0.0000
Hf 0.0000 0.0000 0.5000
Bi 0.5000 0.5000 0.2751
Bi 0.5000 0.5000 0.7249